[1]
Material: La2PrGe3Rh4
Method: DFT, PBE
State: relaxed

Results
electronic total energy = -66.34 eV/cell
size of the total moment = 0.00 μB per atom
formation enthalpy at 0 K = -844.8 meV/atom
DOS at the Fermi energy = 5.51 states/eV per cell

```
data_La2PrGe3Rh4
_chemical_formula_sum 'La2 Pr1 Ge3 Rh4'
_cell_length_a 4.272
_cell_length_b 4.272
_cell_length_c 11.333
_cell_angle_alpha 90.00
_cell_angle_beta 90.00
_cell_angle_gamma 90.00
_symmetry_space_group_name_H-M 'P -4 m 2'
_symmetry_Int_Tables_number 115
loop_
_symmetry_equiv_pos_as_xyz
'x,y,z'
'y,-x,-z'
'-x,-y,z'
'-y,x,-z'
'-x,y,z'
'-y,-x,-z'
'x,-y,z'
'y,x,-z'
loop_
_atom_site_label
_atom_site_fract_x
_atom_site_fract_y
_atom_site_fract_z
La1 0.000 0.500 0.228
Pr1 0.000 0.000 0.500
Ge1 0.000 0.500 0.883
Ge2 0.500 0.500 0.500
Rh1 0.000 0.000 0.000
Rh2 0.000 0.500 0.665
Rh3 0.500 0.500 0.000
```


[2]
Material: LaPrGeRh
Method: DFT, PBE
State: relaxed

Results
electronic total energy = -49.64 eV/cell
size of the total moment = 0.00 μB per atom
formation enthalpy at 0 K = -785.8 meV/atom
DOS at the Fermi energy = 7.98 states/eV per cell

```
data_LaPrGeRh
_chemical_formula_sum 'La2 Pr2 Ge2 Rh2'
_cell_length_a 4.204
_cell_length_b 4.307
_cell_length_c 11.129
_cell_angle_alpha 90.00
_cell_angle_beta 90.00
_cell_angle_gamma 90.00
_symmetry_space_group_name_H-M 'A m m 2'
_symmetry_Int_Tables_number 38
loop_
_symmetry_equiv_pos_as_xyz
'x,y,z'
'-x,-y,z'
'-x,y,z'
'x,-y,z'
'x,y+1/2,z+1/2'
'-x,-y+1/2,z+1/2'
'-x,y+1/2,z+1/2'
'x,-y+1/2,z+1/2'
loop_
_atom_site_label
_atom_site_fract_x
_atom_site_fract_y
_atom_site_fract_z
La1 0.000 0.000 0.000
Pr1 0.500 0.000 0.722
Ge1 0.000 0.000 0.292
Rh1 0.500 0.000 0.441
```


[3]
Material: LaPrGeRh
Method: DFT, PBE
State: relaxed

Results
electronic total energy = -96.20 eV/cell
size of the total moment = 0.00 μB per atom
formation enthalpy at 0 K = -593.7 meV/atom
DOS at the Fermi energy = 14.03 states/eV per cell

```
data_LaPrGeRh
_chemical_formula_sum 'La4 Pr4 Ge4 Rh4'
_cell_length_a 7.342
_cell_length_b 7.342
_cell_length_c 7.342
_cell_angle_alpha 90.00
_cell_angle_beta 90.00
_cell_angle_gamma 90.00
_symmetry_space_group_name_H-M 'F -4 3 m'
_symmetry_Int_Tables_number 216
_symmetry_space_group_name_Hall 'F -4 2 3'
loop_
_atom_site_label
_atom_site_fract_x
_atom_site_fract_y
_atom_site_fract_z
La1 0.000 0.000 0.000
Pr1 0.000 0.000 0.500
Ge1 0.250 0.250 0.250
Rh1 0.250 0.250 0.750
```


What is the size of the total moment in the second record? 0.00 μB per atom